#w
The following is a PBE calculation of AlTlN2 after structural relaxation, from Alexandria.

symmetry	I-42d
total magnetization	0.0	Bohr magnetons per cell

Unit cell a=5.8092 b=5.8092 c=5.8092 alpha=130.51 beta=130.51 gamma=72.59
Element x y z (fractional)
Al: 0.0000 0.0000 0.0000
Al: 0.7500 0.2500 0.5000
Tl: 0.2500 0.7500 0.5000
Tl: 0.5000 0.5000 0.0000
N: 0.0591 0.6250 0.9341
N: 0.3750 0.3091 0.4341
N: 0.6909 0.1250 0.0659
N: 0.8750 0.9409 0.5659


#x
The following is a PBE calculation of AlTlN2 after structural relaxation, from Alexandria.

symmetry	R-3m
total magnetization	0.0	Bohr magnetons per cell

Unit cell a=6.3303 b=6.3303 c=6.3303 alpha=29.11 beta=29.11 gamma=29.11
Element x y z (fractional)
Al: 0.0000 0.0000 0.0000
Tl: 0.5000 0.5000 0.5000
N: 0.3859 0.3859 0.3859
N: 0.6141 0.6141 0.6141


#y
The following is a PBE calculation of AlTlN2 after structural relaxation, from Alexandria.

symmetry	Fm-3m
total magnetization	0.0	Bohr magnetons per cell

Unit cell a=4.1004 b=4.1004 c=4.1004 alpha=60.00 beta=60.00 gamma=60.00
Element x y z (fractional)
Al: 0.0000 0.0000 0.0000
Tl: 0.5000 0.5000 0.5000
N: 0.2500 0.2500 0.2500
N: 0.7500 0.7500 0.7500


Stability, descending: #w, #x, #y


#w
The following is a PBE calculation of AlTl2N after structural relaxation, from Alexandria.

symmetry	I-42d
total magnetization	0.0	Bohr magnetons per cell

Unit cell a=6.6386 b=6.6386 c=6.6386 alpha=123.02 beta=123.02 gamma=84.84
Element x y z (fractional)
Al: 0.0000 0.0000 0.0000
Al: 0.7500 0.2500 0.5000
Tl: 0.1912 0.6250 0.0662
Tl: 0.3750 0.4412 0.5662
Tl: 0.5588 0.1250 0.9338
Tl: 0.8750 0.8088 0.4338
N: 0.2500 0.7500 0.5000
N: 0.5000 0.5000 0.0000


#x
The following is a PBE calculation of AlTl2N after structural relaxation, from Alexandria.

symmetry	Fm-3m
total magnetization	0.0	Bohr magnetons per cell

Unit cell a=4.9075 b=4.9075 c=4.9075 alpha=60.00 beta=60.00 gamma=60.00
Element x y z (fractional)
Al: 0.0000 0.0000 0.0000
Tl: 0.2500 0.2500 0.2500
Tl: 0.7500 0.7500 0.7500
N: 0.5000 0.5000 0.5000


Stability, descending: #w, #x


#w
The following is a PBE calculation of Al2TlN after structural relaxation, from Alexandria.

symmetry	I-42d
total magnetization	0.0	Bohr magnetons per cell

Unit cell a=6.0576 b=6.0576 c=6.0576 alpha=124.80 beta=124.80 gamma=81.86
Element x y z (fractional)
Al: 0.3750 0.2482 0.3732
Al: 0.7518 0.1250 0.1268
Al: 0.8750 0.0018 0.6268
Al: 0.9982 0.6250 0.8732
Tl: 0.2500 0.7500 0.5000
Tl: 0.5000 0.5000 0.0000
N: 0.0000 0.0000 0.0000
N: 0.7500 0.2500 0.5000


#x
The following is a PBE calculation of Al2TlN after structural relaxation, from Alexandria.

symmetry	Fm-3m
total magnetization	0.0	Bohr magnetons per cell

Unit cell a=4.5995 b=4.5995 c=4.5995 alpha=60.00 beta=60.00 gamma=60.00
Element x y z (fractional)
Al: 0.2500 0.2500 0.2500
Al: 0.7500 0.7500 0.7500
Tl: 0.0000 0.0000 0.0000
N: 0.5000 0.5000 0.5000


Stability, descending: #w, #x


#w
The following is a PBE calculation of Al3VN after structural relaxation, from Alexandria.

symmetry	Pm-3m
total magnetization	1.0	Bohr magnetons per cell

Unit cell a=4.0210 b=4.0210 c=4.0210 alpha=90.00 beta=90.00 gamma=90.00
Element x y z (fractional)
Al: 0.0000 0.0000 0.5000
Al: 0.0000 0.5000 0.0000
Al: 0.5000 0.0000 0.0000
V: 0.5000 0.5000 0.5000
N: 0.0000 0.0000 0.0000


#x
The following is a PBE calculation of Al3VN after structural relaxation, from Alexandria.

symmetry	Pm-3m
total magnetization	6.3	Bohr magnetons per cell

Unit cell a=4.9369 b=4.9369 c=4.9369 alpha=90.00 beta=90.00 gamma=90.00
Element x y z (fractional)
Al: 0.0000 0.0000 0.5000
Al: 0.0000 0.5000 0.0000
Al: 0.5000 0.0000 0.0000
V: 0.0000 0.0000 0.0000
N: 0.5000 0.5000 0.5000


Stability, descending: #w, #x


#w
The following is a PBE calculation of Y2AlN3 after structural relaxation, from Alexandria.

symmetry	Cmc2_1
total magnetization	0.0	Bohr magnetons per cell

Unit cell a=6.4410 b=6.4410 c=5.1272 alpha=90.00 beta=90.00 gamma=58.37
Element x y z (fractional)
Y: 0.0240 0.6585 0.5000
Y: 0.3415 0.9760 0.5000
Y: 0.6585 0.0240 0.0000
Y: 0.9760 0.3415 0.0000
Al: 0.3415 0.6585 0.0278
Al: 0.6585 0.3415 0.5278
N: 0.0354 0.6681 0.9624
N: 0.3319 0.9646 0.9624
N: 0.3786 0.6214 0.3946
N: 0.6214 0.3786 0.8946
N: 0.6681 0.0354 0.4624
N: 0.9646 0.3319 0.4624


#x
The following is a PBE calculation of Y2AlN3 after structural relaxation, from Alexandria.

symmetry	Cmce
total magnetization	0.0	Bohr magnetons per cell

Unit cell a=5.9572 b=5.9572 c=11.1741 alpha=90.00 beta=90.00 gamma=124.68
Element x y z (fractional)
Y: 0.0287 0.9713 0.8493
Y: 0.1418 0.8582 0.4232
Y: 0.3582 0.6418 0.9232
Y: 0.4713 0.5287 0.3493
Y: 0.5287 0.4713 0.6507
Y: 0.6418 0.3582 0.0768
Y: 0.8582 0.1418 0.5768
Y: 0.9713 0.0287 0.1507
Al: 0.2495 0.7505 0.1630
Al: 0.2505 0.7495 0.6630
Al: 0.7495 0.2505 0.3370
Al: 0.7505 0.2495 0.8370
N: 0.0712 0.4288 0.7500
N: 0.0733 0.9267 0.6380
N: 0.1518 0.8482 0.0193
N: 0.3482 0.6518 0.5193
N: 0.4267 0.5733 0.1380
N: 0.4288 0.0712 0.2500
N: 0.5712 0.9288 0.7500
N: 0.5733 0.4267 0.8620
N: 0.6518 0.3482 0.4807
N: 0.8482 0.1518 0.9807
N: 0.9267 0.0733 0.3620
N: 0.9288 0.5712 0.2500


Stability, descending: #w, #x


#w
The following is a PBE calculation of Al2ZnN after structural relaxation, from Alexandria.

symmetry	Fm-3m
total magnetization	0.0	Bohr magnetons per cell

Unit cell a=4.2701 b=4.2701 c=4.2701 alpha=60.00 beta=60.00 gamma=60.00
Element x y z (fractional)
Al: 0.2500 0.2500 0.2500
Al: 0.7500 0.7500 0.7500
Zn: 0.0000 0.0000 0.0000
N: 0.5000 0.5000 0.5000


#x
The following is a PBE calculation of Al2ZnN after structural relaxation, from Alexandria.

symmetry	I-42d
total magnetization	0.0	Bohr magnetons per cell

Unit cell a=5.7329 b=5.7329 c=5.7329 alpha=123.76 beta=123.76 gamma=83.61
Element x y z (fractional)
Al: 0.0300 0.6250 0.9050
Al: 0.3750 0.2800 0.4050
Al: 0.7200 0.1250 0.0950
Al: 0.8750 0.9700 0.5950
Zn: 0.2500 0.7500 0.5000
Zn: 0.5000 0.5000 0.0000
N: 0.0000 0.0000 0.0000
N: 0.7500 0.2500 0.5000


Stability, descending: #x, #w


#w
The following is a PBE calculation of AlZn2N after structural relaxation, from Alexandria.

symmetry	I-42d
total magnetization	0.0	Bohr magnetons per cell

Unit cell a=5.7230 b=5.7230 c=5.7230 alpha=120.11 beta=120.11 gamma=89.81
Element x y z (fractional)
Al: 0.0000 0.0000 0.0000
Al: 0.7500 0.2500 0.5000
Zn: 0.2286 0.6250 0.1036
Zn: 0.3750 0.4786 0.6036
Zn: 0.5214 0.1250 0.8964
Zn: 0.8750 0.7714 0.3964
N: 0.2500 0.7500 0.5000
N: 0.5000 0.5000 0.0000


#x
The following is a PBE calculation of AlZn2N after structural relaxation, from Alexandria.

symmetry	Fm-3m
total magnetization	0.0	Bohr magnetons per cell

Unit cell a=4.3156 b=4.3156 c=4.3156 alpha=60.00 beta=60.00 gamma=60.00
Element x y z (fractional)
Al: 0.0000 0.0000 0.0000
Zn: 0.2500 0.2500 0.2500
Zn: 0.7500 0.7500 0.7500
N: 0.5000 0.5000 0.5000


Stability, descending: #w, #x


#w
The following is a PBE calculation of NaAl2 after structural relaxation, from Alexandria.

symmetry	I4/mmm
total magnetization	0.0	Bohr magnetons per cell

Unit cell a=7.4533 b=7.4533 c=7.4533 alpha=157.43 beta=157.43 gamma=32.13
Element x y z (fractional)
Na: 0.0000 0.0000 0.0000
Al: 0.3209 0.3209 0.0000
Al: 0.6791 0.6791 0.0000


#x
The following is a PBE calculation of NaAl2 after structural relaxation, from Alexandria.

symmetry	Fd-3m
total magnetization	0.0	Bohr magnetons per cell

Unit cell a=5.6334 b=5.6334 c=5.6334 alpha=60.00 beta=60.00 gamma=60.00
Element x y z (fractional)
Na: 0.1250 0.1250 0.1250
Na: 0.8750 0.8750 0.8750
Al: 0.0000 0.5000 0.5000
Al: 0.5000 0.0000 0.5000
Al: 0.5000 0.5000 0.0000
Al: 0.5000 0.5000 0.5000


Stability, descending: #x, #w